# 1
# Ta2CuRu2

A geometry-optimized Ta2CuRu2 structure (PBE, Alexandria).

Cell and atoms, written as POSCAR:
```
Ta2CuRu2
1.0
7.371 0.000 0.000
0.000 7.371 0.000
0.000 0.000 3.037
Ta Cu Ru
4 2 4
direct
0.159 0.341 0.000
0.341 0.841 0.000
0.659 0.159 0.000
0.841 0.659 0.000
0.000 0.000 0.500
0.500 0.500 0.500
0.141 0.641 0.500
0.359 0.141 0.500
0.641 0.859 0.500
0.859 0.359 0.500
```

Properties
**Magnetization**: 0.00 μB/cell
**Crystal system**: tetragonal
**Energy of formation**: -0.03 eV per atom
**Symmetry**: No. 127
**D(E_F)**: 0.642 states/eV per atom


# 2
# U2PaNb

A geometry-optimized U2PaNb structure (PBE, Alexandria).

Cell and atoms, written as POSCAR:
```
U2PaNb
1.0
3.445 0.000 0.000
0.000 3.445 0.000
0.000 0.000 7.312
U Pa Nb
2 1 1
direct
0.000 0.000 0.241
0.000 0.000 0.759
0.500 0.500 0.500
0.500 0.500 0.000
```

Properties
**Magnetization**: 3.60 μB/cell
**Crystal system**: tetragonal
**Energy of formation**: 0.32 eV per atom
**Symmetry**: No. 123
**Relative energy among the computed polymorphs**: 0.047 eV/atom
**D(E_F)**: 2.900 states/eV per atom


# 3
# CsU2Se7

A geometry-optimized CsU2Se7 structure (PBE, Alexandria).

Cell and atoms, written as POSCAR:
```
CsU2Se7
1.0
4.223 -6.787 0.000
4.223 6.787 0.000
0.000 0.000 5.439
Cs U Se
1 2 7
direct
0.000 0.000 0.000
0.297 0.703 0.500
0.703 0.297 0.500
0.066 0.327 0.500
0.294 0.706 0.000
0.327 0.066 0.500
0.500 0.500 0.500
0.673 0.934 0.500
0.706 0.294 0.000
0.934 0.673 0.500
```

Properties
**Magnetization**: 0.00 μB/cell
**Crystal system**: orthorhombic
**Uncorrected formation energy**: -892 meV/atom
**Symmetry**: No. 65
**D(E_F)**: 0.408 states/eV per atom


# 4
# AlIrS2N

A geometry-optimized AlIrS2N structure (PBE, Alexandria).

Cell and atoms, written as POSCAR:
```
AlIrS2N
1.0
4.664 0.000 0.000
0.000 4.664 0.000
0.000 0.000 3.468
Al Ir S N
1 1 2 1
direct
0.000 0.000 0.000
0.500 0.500 0.500
0.000 0.500 0.000
0.500 0.000 0.000
0.000 0.000 0.500
```

Properties
**Magnetization**: 0.00 μB/cell
**Crystal system**: tetragonal
**Uncorrected formation energy**: 829 meV/atom
**Symmetry**: No. 123
**Relative energy among the computed polymorphs**: 0.459 eV/atom
**D(E_F)**: 1.378 states/eV per atom


# 5
# Pa2VSe6

A geometry-optimized Pa2VSe6 structure (PBE, Alexandria).

Cell and atoms, written as POSCAR:
```
Pa2VSe6
1.0
6.344 0.000 0.000
0.000 7.317 0.000
-6.326 0.000 9.054
Pa V Se
4 2 12
direct
0.202 0.129 0.253
0.202 0.371 0.753
0.798 0.629 0.247
0.798 0.871 0.747
0.000 0.000 0.500
0.000 0.500 0.000
0.091 0.183 0.940
0.091 0.317 0.440
0.282 0.676 0.940
0.282 0.824 0.440
0.407 0.035 0.760
0.407 0.465 0.260
0.593 0.535 0.740
0.593 0.965 0.240
0.718 0.176 0.560
0.718 0.324 0.060
0.909 0.683 0.560
0.909 0.817 0.060
```

Properties
**Magnetization**: 5.62 μB/cell
**Crystal system**: monoclinic
**Uncorrected formation energy**: -1191 meV/atom
**Symmetry**: No. 14
**D(E_F)**: 0.399 states/eV per atom


# 6
# GaTcSe2

A geometry-optimized GaTcSe2 structure (PBE, Alexandria).

Cell and atoms, written as POSCAR:
```
GaTcSe2
1.0
3.465 0.000 0.000
-1.732 3.001 0.000
0.000 0.000 23.837
Ga Tc Se
3 3 6
direct
0.000 0.000 0.000
0.333 0.667 0.667
0.667 0.333 0.333
0.000 0.000 0.500
0.333 0.667 0.167
0.667 0.333 0.833
0.000 0.000 0.401
0.000 0.000 0.599
0.333 0.667 0.067
0.333 0.667 0.266
0.667 0.333 0.734
0.667 0.333 0.933
```

Properties
**Magnetization**: 0.00 μB/cell
**Crystal system**: trigonal
**Uncorrected formation energy**: 384 meV/atom
**Symmetry**: No. 166
**Relative energy among the computed polymorphs**: 0.480 eV/atom
**D(E_F)**: 0.634 states/eV per atom


# 7
# TiTl2CoS4

A geometry-optimized TiTl2CoS4 structure (PBE, Alexandria).

Cell and atoms, written as POSCAR:
```
TiTl2CoS4
1.0
0.000 6.489 11.625
2.785 0.000 11.625
2.785 6.489 0.000
Ti Tl Co S
2 4 2 8
direct
0.125 0.125 0.125
0.875 0.875 0.875
0.053 0.053 0.697
0.303 0.303 0.947
0.697 0.697 0.053
0.947 0.947 0.303
0.375 0.375 0.375
0.625 0.625 0.625
0.025 0.333 0.422
0.280 0.578 0.667
0.333 0.025 0.720
0.422 0.720 0.025
0.578 0.280 0.975
0.667 0.975 0.280
0.720 0.422 0.333
0.975 0.667 0.578
```

Properties
**Magnetization**: 6.11 μB/cell
**Crystal system**: orthorhombic
**Uncorrected formation energy**: -666 meV/atom
**Symmetry**: No. 70
**D(E_F)**: 0.395 states/eV per atom


# 8
# KIn2Rh

A geometry-optimized KIn2Rh structure (PBE, Alexandria).

Cell and atoms, written as POSCAR:
```
KIn2Rh
1.0
7.139 0.000 0.000
0.000 7.139 0.000
0.000 0.000 7.139
K In Rh
4 8 4
direct
0.000 0.000 0.000
0.000 0.500 0.500
0.500 0.000 0.500
0.500 0.500 0.000
0.250 0.250 0.250
0.250 0.250 0.750
0.250 0.750 0.250
0.250 0.750 0.750
0.750 0.250 0.250
0.750 0.250 0.750
0.750 0.750 0.250
0.750 0.750 0.750
0.000 0.000 0.500
0.000 0.500 0.000
0.500 0.000 0.000
0.500 0.500 0.500
```

Properties
**Magnetization**: 0.00 μB/cell
**Crystal system**: cubic
**Energy of formation**: 0.15 eV per atom
**Symmetry**: No. 225
**D(E_F)**: 0.638 states/eV per atom


# 9
# SrP2RhSe8

A geometry-optimized SrP2RhSe8 structure (PBE, Alexandria).

Cell and atoms, written as POSCAR:
```
SrP2RhSe8
1.0
6.070 0.000 0.000
-3.035 5.257 0.000
0.000 0.000 9.106
Sr P Rh Se
1 2 1 8
direct
0.000 0.000 0.000
0.333 0.667 0.736
0.667 0.333 0.264
0.000 0.000 0.500
0.034 0.698 0.325
0.302 0.335 0.325
0.333 0.667 0.978
0.335 0.034 0.675
0.665 0.966 0.325
0.667 0.333 0.022
0.698 0.665 0.675
0.966 0.302 0.675
```

Properties
**Magnetization**: 0.00 μB/cell
**Crystal system**: trigonal
**Uncorrected formation energy**: -398 meV/atom
**Symmetry**: No. 147
**D(E_F)**: 0.915 states/eV per atom


# 10
# Li2TcPt

A geometry-optimized Li2TcPt structure (PBE, Alexandria).

Cell and atoms, written as POSCAR:
```
Li2TcPt
1.0
5.967 0.000 0.000
0.000 5.967 0.000
0.000 0.000 5.967
Li Tc Pt
8 4 4
direct
0.250 0.250 0.250
0.250 0.250 0.750
0.250 0.750 0.250
0.250 0.750 0.750
0.750 0.250 0.250
0.750 0.250 0.750
0.750 0.750 0.250
0.750 0.750 0.750
0.000 0.000 0.000
0.000 0.500 0.500
0.500 0.000 0.500
0.500 0.500 0.000
0.000 0.000 0.500
0.000 0.500 0.000
0.500 0.000 0.000
0.500 0.500 0.500
```

Properties
**Magnetization**: 9.93 μB/cell
**Crystal system**: cubic
**Energy of formation**: 0.20 eV per atom
**Symmetry**: No. 225
**Relative energy among the computed polymorphs**: 0.322 eV/atom
**D(E_F)**: 0.927 states/eV per atom


# 11
# Tm6AlBi2

A geometry-optimized Tm6AlBi2 structure (PBE, Alexandria).

Cell and atoms, written as POSCAR:
```
Tm6AlBi2
1.0
6.817 0.000 0.000
0.000 6.817 0.000
0.000 0.000 13.694
Tm Al Bi
12 2 4
direct
0.191 0.191 0.156
0.191 0.191 0.844
0.210 0.210 0.500
0.290 0.710 0.000
0.309 0.691 0.344
0.309 0.691 0.656
0.691 0.309 0.344
0.691 0.309 0.656
0.710 0.290 0.000
0.790 0.790 0.500
0.809 0.809 0.156
0.809 0.809 0.844
0.000 0.000 0.000
0.500 0.500 0.500
0.000 0.000 0.333
0.000 0.000 0.667
0.500 0.500 0.167
0.500 0.500 0.833
```

Properties
**Magnetization**: 0.08 μB/cell
**Crystal system**: tetragonal
**Energy of formation**: 0.07 eV per atom
**Symmetry**: No. 136
**D(E_F)**: 2.036 states/eV per atom


# 12
# Sm2I3Br2

A geometry-optimized Sm2I3Br2 structure (PBE, Alexandria).

Cell and atoms, written as POSCAR:
```
Sm2I3Br2
1.0
4.274 0.000 0.000
0.000 4.272 0.000
-2.172 0.000 16.149
Sm I Br
2 3 2
direct
0.102 0.000 0.194
0.898 0.000 0.806
0.000 0.000 0.000
0.188 0.000 0.370
0.812 0.000 0.630
0.405 0.500 0.819
0.595 0.500 0.181
```

Properties
**Magnetization**: 0.00 μB/cell
**Crystal system**: monoclinic
**Uncorrected formation energy**: -1290 meV/atom
**Symmetry**: No. 10
**D(E_F)**: 0.250 states/eV per atom


| no. | calculated volume (Å³ per atom) |
| --- | --- |
| 1 | 16.5 |
| 2 | 21.7 |
| 3 | 31.2 |
| 4 | 15.1 |
| 5 | 23.3 |
| 6 | 20.7 |
| 7 | 26.3 |
| 8 | 22.7 |
| 9 | 24.2 |
| 10 | 13.3 |
| 11 | 35.4 |
| 12 | 42.1 |